The following is a DFT calculation (GGA+U) of a relaxed structure of Zr2CdFeO.

a b c (Å): 5.2887 4.8258 5.2887
angles (deg): 90.00 90.00 90.00
Element x y z (fractional)
1 O 0.5000 0.5000 0.5000
2 Fe 0.0000 0.5000 0.0000
3 Zr 0.0000 0.0000 0.5000
4 Zr 0.5000 0.0000 0.0000
5 Cd 0.0000 0.0000 0.0000

Properties
DFT total energy in eV per cell: -21.081
Symmetry: P4/mmm, No. 123